A plane-wave DFT calculation with PBE was carried out for Tm2CdIn8 after structural relaxation.

SG: P4/mmm (123)
Calculated formation energy in eV per atom: -0.20
Total DFT energy (no corrections) in eV/atom: -3.088

a b c (Å): 4.764 4.764 12.441
angles (deg): 90.00 90.00 90.00
Positions (direct):
Tm  0.000  0.000  0.179
Tm  0.000  0.000  0.821
Cd  0.000  0.000  0.500
In  0.000  0.500  0.000
In  0.000  0.500  0.357
In  0.000  0.500  0.643
In  0.500  0.000  0.000
In  0.500  0.000  0.357
In  0.500  0.000  0.643
In  0.500  0.500  0.180
In  0.500  0.500  0.820

=====

A plane-wave DFT calculation with PBE was carried out for Tm3CdIn4 after structural relaxation.

SG: Immm (71)
Calculated formation energy in eV per atom: -0.23
Total DFT energy (no corrections) in eV/atom: -3.389

a b c (Å): 8.205 8.205 8.205
angles (deg): 156.39 105.31 79.61
Positions (direct):
Tm  0.000  0.000  0.000
Tm  0.275  0.775  0.500
Tm  0.725  0.225  0.500
Cd  0.500  0.500  0.000
In  0.119  0.374  0.745
In  0.370  0.626  0.745
In  0.630  0.374  0.255
In  0.881  0.626  0.255

=====

A plane-wave DFT calculation with PBE was carried out for Tm11Cd4In9 after structural relaxation.

SG: Cmmm (65)
Calculated formation energy in eV per atom: -0.36
Total DFT energy (no corrections) in eV/atom: -3.592

a b c (Å): 13.324 13.324 3.454
angles (deg): 90.00 90.00 96.44
Positions (direct):
Tm  0.000  0.000  0.000
Tm  0.073  0.410  0.000
Tm  0.178  0.822  0.000
Tm  0.233  0.233  0.000
Tm  0.355  0.645  0.000
Tm  0.410  0.073  0.000
Tm  0.590  0.927  0.000
Tm  0.645  0.355  0.000
Tm  0.767  0.767  0.000
Tm  0.822  0.178  0.000
Tm  0.927  0.590  0.000
Cd  0.277  0.439  0.500
Cd  0.439  0.277  0.500
Cd  0.561  0.723  0.500
Cd  0.723  0.561  0.500
In  0.028  0.206  0.500
In  0.140  0.616  0.500
In  0.206  0.028  0.500
In  0.384  0.860  0.500
In  0.500  0.500  0.500
In  0.616  0.140  0.500
In  0.794  0.972  0.500
In  0.860  0.384  0.500
In  0.972  0.794  0.500

=====

A plane-wave DFT calculation with PBE was carried out for TmCd2In2 after structural relaxation.

SG: P6_3/mmc (194)
Calculated formation energy in eV per atom: -0.02
Total DFT energy (no corrections) in eV/atom: -2.371
Polymorph energy (0 for the lowest one) in eV per atom: 0.2175

a b c (Å): 5.072 5.072 12.224
angles (deg): 90.00 90.00 120.00
Positions (direct):
Tm  0.000  0.000  0.250
Tm  0.000  0.000  0.750
Cd  0.333  0.667  0.115
Cd  0.333  0.667  0.385
Cd  0.667  0.333  0.615
Cd  0.667  0.333  0.885
In  0.000  0.000  0.000
In  0.000  0.000  0.500
In  0.333  0.667  0.750
In  0.667  0.333  0.250

=====

A plane-wave DFT calculation with PBE was carried out for TmCdIn2 after structural relaxation.

SG: P4/mmm (123)
Calculated formation energy in eV per atom: -0.17
Total DFT energy (no corrections) in eV/atom: -2.882
Polymorph energy (0 for the lowest one) in eV per atom: 0.1766

a b c (Å): 3.735 3.735 7.197
angles (deg): 90.00 90.00 90.00
Positions (direct):
Tm  0.000  0.000  0.000
Cd  0.000  0.000  0.500
In  0.500  0.500  0.267
In  0.500  0.500  0.733

=====

A plane-wave DFT calculation with PBE was carried out for Tm3Cd2In4 after structural relaxation.

SG: C2/m (12)
Calculated formation energy in eV per atom: -0.35
Total DFT energy (no corrections) in eV/atom: -3.260

a b c (Å): 6.045 6.045 9.270
angles (deg): 116.50 116.50 48.34
Positions (direct):
Tm  0.000  0.000  0.000
Tm  0.334  0.334  0.334
Tm  0.666  0.666  0.666
Cd  0.387  0.387  0.719
Cd  0.613  0.613  0.281
In  0.053  0.053  0.384
In  0.277  0.277  0.939
In  0.723  0.723  0.061
In  0.947  0.947  0.616

=====

A plane-wave DFT calculation with PBE was carried out for TmCdIn2 after structural relaxation.

SG: Fm-3m (225)
Calculated formation energy in eV per atom: -0.15
Total DFT energy (no corrections) in eV/atom: -2.863
Polymorph energy (0 for the lowest one) in eV per atom: 0.1951

a b c (Å): 5.209 5.209 5.209
angles (deg): 60.00 60.00 60.00
Positions (direct):
Tm  0.000  0.000  0.000
Cd  0.500  0.500  0.500
In  0.250  0.250  0.250
In  0.750  0.750  0.750

=====

A plane-wave DFT calculation with PBE was carried out for Tm3Cd4In2 after structural relaxation.

SG: C2/m (12)
Calculated formation energy in eV per atom: -0.34
Total DFT energy (no corrections) in eV/atom: -2.846

a b c (Å): 6.014 6.014 9.255
angles (deg): 116.31 116.31 48.31
Positions (direct):
Tm  0.000  0.000  0.000
Tm  0.334  0.334  0.330
Tm  0.666  0.666  0.670
Cd  0.074  0.074  0.409
Cd  0.292  0.292  0.963
Cd  0.708  0.708  0.037
Cd  0.926  0.926  0.591
In  0.391  0.391  0.727
In  0.609  0.609  0.273

=====

A plane-wave DFT calculation with PBE was carried out for YTmCdIn after structural relaxation.

SG: F-43m (216)
Calculated formation energy in eV per atom: -0.41
Total DFT energy (no corrections) in eV/atom: -4.057

a b c (Å): 5.272 5.272 5.272
angles (deg): 60.00 60.00 60.00
Positions (direct):
Y  0.000  0.000  0.000
Tm  0.500  0.500  0.500
Cd  0.750  0.750  0.750
In  0.250  0.250  0.250

=====

A plane-wave DFT calculation with PBE was carried out for TmZnCdIn after structural relaxation.

SG: F-43m (216)
Calculated formation energy in eV per atom: -0.21
Total DFT energy (no corrections) in eV/atom: -2.556
Polymorph energy (0 for the lowest one) in eV per atom: 0.0634

a b c (Å): 5.010 5.010 5.010
angles (deg): 60.00 60.00 60.00
Positions (direct):
Tm  0.000  0.000  0.000
Zn  0.750  0.750  0.750
Cd  0.500  0.500  0.500
In  0.250  0.250  0.250

=====

A plane-wave DFT calculation with PBE was carried out for TmZnCdIn after structural relaxation.

SG: Pmmm (47)
Calculated formation energy in eV per atom: -0.27
Total DFT energy (no corrections) in eV/atom: -2.620
Polymorph energy (0 for the lowest one) in eV per atom: 0.0000

a b c (Å): 4.221 4.560 4.604
angles (deg): 90.00 90.00 90.00
Positions (direct):
Tm  0.000  0.000  0.000
Zn  0.500  0.500  0.000
Cd  0.000  0.500  0.500
In  0.500  0.000  0.500

=====

A plane-wave DFT calculation with PBE was carried out for TmZrCdIn after structural relaxation.

SG: F-43m (216)
Calculated formation energy in eV per atom: -0.24
Total DFT energy (no corrections) in eV/atom: -4.407

a b c (Å): 5.100 5.100 5.100
angles (deg): 60.00 60.00 60.00
Positions (direct):
Tm  0.000  0.000  0.000
Zr  0.500  0.500  0.500
Cd  0.750  0.750  0.750
In  0.250  0.250  0.250

=====

A plane-wave DFT calculation with PBE was carried out for UCd2In after structural relaxation.

SG: P4/mmm (123)
Calculated formation energy in eV per atom: 0.21
Total DFT energy (no corrections) in eV/atom: -3.758

a b c (Å): 4.573 4.573 4.773
angles (deg): 90.00 90.00 90.00
Positions (direct):
U  0.000  0.000  0.000
Cd  0.000  0.500  0.500
Cd  0.500  0.000  0.500
In  0.500  0.500  0.000

=====

A plane-wave DFT calculation with PBE was carried out for V2CdIn2 after structural relaxation.

SG: P4/mbm (127)
Calculated formation energy in eV per atom: 0.27
Total DFT energy (no corrections) in eV/atom: -4.656

a b c (Å): 7.237 7.237 3.739
angles (deg): 90.00 90.00 90.00
Positions (direct):
V  0.103  0.397  0.000
V  0.397  0.897  0.000
V  0.603  0.103  0.000
V  0.897  0.603  0.000
Cd  0.000  0.000  0.000
Cd  0.500  0.500  0.000
In  0.188  0.688  0.500
In  0.312  0.188  0.500
In  0.688  0.812  0.500
In  0.812  0.312  0.500

=====

A plane-wave DFT calculation with PBE was carried out for VCd3In after structural relaxation.

SG: Pm-3m (221)
Calculated formation energy in eV per atom: 0.98
Total DFT energy (no corrections) in eV/atom: -1.942
Polymorph energy (0 for the lowest one) in eV per atom: 0.3240

a b c (Å): 5.403 5.403 5.403
angles (deg): 90.00 90.00 90.00
Positions (direct):
V  0.000  0.000  0.000
Cd  0.000  0.500  0.500
Cd  0.500  0.000  0.500
Cd  0.500  0.500  0.000
In  0.500  0.500  0.500

=====

A plane-wave DFT calculation with PBE was carried out for V2CdIn after structural relaxation.

SG: I-42d (122)
Calculated formation energy in eV per atom: 0.78
Total DFT energy (no corrections) in eV/atom: -4.697

a b c (Å): 5.913 5.913 5.913
angles (deg): 102.47 102.47 124.61
Positions (direct):
V  0.125  0.625  0.000
V  0.375  0.375  0.500
V  0.625  0.125  0.000
V  0.875  0.875  0.500
Cd  0.000  0.000  0.000
Cd  0.750  0.250  0.500
In  0.250  0.750  0.500
In  0.500  0.500  0.000

=====

A plane-wave DFT calculation with PBE was carried out for VCd3In after structural relaxation.

SG: Pm-3m (221)
Calculated formation energy in eV per atom: 0.65
Total DFT energy (no corrections) in eV/atom: -2.266
Polymorph energy (0 for the lowest one) in eV per atom: 0.0000

a b c (Å): 5.353 5.353 5.353
angles (deg): 90.00 90.00 90.00
Positions (direct):
V  0.000  0.000  0.000
Cd  0.000  0.000  0.500
Cd  0.000  0.500  0.000
Cd  0.500  0.000  0.000
In  0.500  0.500  0.500

=====

A plane-wave DFT calculation with PBE was carried out for CdIn3W after structural relaxation.

SG: Pm-3m (221)
Calculated formation energy in eV per atom: 1.51
Total DFT energy (no corrections) in eV/atom: -2.909
Polymorph energy (0 for the lowest one) in eV per atom: 0.7713

a b c (Å): 5.392 5.392 5.392
angles (deg): 90.00 90.00 90.00
Positions (direct):
Cd  0.000  0.000  0.000
In  0.000  0.000  0.500
In  0.000  0.500  0.000
In  0.500  0.000  0.000
W  0.500  0.500  0.500

=====

A plane-wave DFT calculation with PBE was carried out for CdIn3W after structural relaxation.

SG: Pm-3m (221)
Calculated formation energy in eV per atom: 0.74
Total DFT energy (no corrections) in eV/atom: -3.680
Polymorph energy (0 for the lowest one) in eV per atom: 0.0000

a b c (Å): 5.354 5.354 5.354
angles (deg): 90.00 90.00 90.00
Positions (direct):
Cd  0.000  0.000  0.000
In  0.000  0.500  0.500
In  0.500  0.000  0.500
In  0.500  0.500  0.000
W  0.500  0.500  0.500

=====

A plane-wave DFT calculation with PBE was carried out for Cd4InW after structural relaxation.

SG: F-43m (216)
Calculated formation energy in eV per atom: 0.72
Total DFT energy (no corrections) in eV/atom: -2.507

a b c (Å): 5.691 5.691 5.691
angles (deg): 60.00 60.00 60.00
Positions (direct):
Cd  0.376  0.376  0.376
Cd  0.376  0.376  0.873
Cd  0.376  0.873  0.376
Cd  0.873  0.376  0.376
In  0.000  0.000  0.000
W  0.750  0.750  0.750